Density functional theory data (PBE) for an optimized crystal structure of MnZnSb2.

Properties
formation energy without anion corrections = 1.072 eV per formula unit
size of the total moment = 3.86 Bohr magnetons per cell
space-group type = No. 65

a = 5.1884 Å, b = 5.1884 Å, c = 3.1637 Å
α = 90.00°, β = 90.00°, γ = 97.80°
Element x y z (fractional)
Sb 0.5000 0.5000 0.0000
Sb 0.0000 0.0000 0.0000
Mn 0.0000 0.5000 0.5000
Zn 0.5000 0.0000 0.5000